! La2Rh GGA-PBEsol relaxed; values from VASP
&SYSTEM
  ibrav = 0, nat = 9, ntyp = 2
/
ATOMIC_SPECIES
La 138.91 La.upf
Rh 102.91 Rh.upf
CELL_PARAMETERS angstrom
7.507 0.000 0.000
-3.754 6.502 0.000
0.000 0.000 4.876
ATOMIC_POSITIONS angstrom
La -1.487 2.575 0.000
La -2.727 4.723 2.438
La 1.027 1.779 2.438
La 2.974 0.000 0.000
La 2.267 3.926 0.000
La 5.454 0.000 2.438
Rh 0.000 0.000 0.000
Rh 0.000 4.334 2.438
Rh 3.754 2.167 2.438
! Total DFT energy (no corrections) (eV per atom): -6.7196
! Energy of formation (kJ per mole of atoms): -43
! Symmetry: P-62m (189)
! M_tot (μB/cell): 0.00

---

! La2Rh GGA-PBEsol relaxed; values from VASP
&SYSTEM
  ibrav = 0, nat = 24, ntyp = 2
/
ATOMIC_SPECIES
La 138.91 La.upf
Rh 102.91 Rh.upf
CELL_PARAMETERS angstrom
0.000 6.846 6.846
6.846 0.000 6.846
6.846 6.846 0.000
ATOMIC_POSITIONS angstrom
La 0.000 0.000 0.000
La 3.423 3.423 0.000
La 3.423 0.000 3.423
La 5.134 5.134 2.550
La 5.134 2.550 5.134
La 7.719 5.134 5.134
La 8.557 8.557 5.972
La 8.557 5.972 8.557
La 11.142 8.557 8.557
La 0.000 3.423 3.423
La 2.550 5.134 5.134
La 5.134 7.719 5.134
La 5.134 5.134 7.719
La 5.972 8.557 8.557
La 8.557 11.142 8.557
La 8.557 8.557 11.142
Rh 10.485 6.630 6.630
Rh 3.207 3.207 3.207
Rh 7.062 7.062 3.207
Rh 7.062 3.207 7.062
Rh 6.630 10.485 6.630
Rh 6.630 6.630 10.485
Rh 10.485 10.485 10.485
Rh 3.207 7.062 7.062
! Total DFT energy (no corrections) (eV per atom): -6.6943
! Energy of formation (kJ per mole of atoms): -40
! Symmetry: Fd-3m (227)
! M_tot (μB/cell): 0.00

---

! La5Rh3 GGA-PBEsol relaxed; values from VASP
&SYSTEM
  ibrav = 0, nat = 16, ntyp = 2
/
ATOMIC_SPECIES
La 138.91 La.upf
Rh 102.91 Rh.upf
CELL_PARAMETERS angstrom
8.280 0.000 0.000
-4.140 7.170 0.000
0.000 0.000 6.890
ATOMIC_POSITIONS angstrom
La -1.043 1.806 1.722
La -3.097 5.364 5.167
La 2.086 0.000 1.722
La 1.043 1.806 5.167
La 0.000 4.780 0.000
La 0.000 4.780 3.445
La 4.140 2.390 0.000
La 4.140 2.390 3.445
La 6.194 0.000 5.167
La 3.097 5.364 1.722
Rh -1.590 2.754 5.167
Rh -2.550 4.417 1.722
Rh 3.179 0.000 5.167
Rh 1.590 2.754 1.722
Rh 5.100 0.000 1.722
Rh 2.550 4.417 5.167
! Total DFT energy (no corrections) (eV per atom): -6.9429
! Energy of formation (kJ per mole of atoms): -53
! E above lowest polymorph (eV per formula unit): 0.000
! Symmetry: P6_3/mcm (193)
! M_tot (μB/cell): 0.00

---

! La2Rh GGA-PBEsol relaxed; values from VASP
&SYSTEM
  ibrav = 0, nat = 12, ntyp = 2
/
ATOMIC_SPECIES
La 138.91 La.upf
Rh 102.91 Rh.upf
CELL_PARAMETERS angstrom
7.033 0.000 0.000
0.000 7.033 0.000
0.000 0.000 7.033
ATOMIC_POSITIONS angstrom
La 1.209 1.209 1.209
La 1.209 2.307 4.726
La 2.307 4.726 1.209
La 2.307 5.824 4.726
La 4.726 1.209 2.307
La 4.726 2.307 5.824
La 5.824 4.726 2.307
La 5.824 5.824 5.824
Rh 0.000 0.000 3.517
Rh 0.000 3.517 0.000
Rh 3.517 0.000 0.000
Rh 3.517 3.517 3.517
! Total DFT energy (no corrections) (eV per atom): -6.7443
! Energy of formation (kJ per mole of atoms): -45
! Symmetry: Pa-3 (205)
! M_tot (μB/cell): 0.00